Density functional theory data (GGA-PBE) for crystalline LaSm2Co9 at its relaxed geometry.

Calculated values
E_tot: -0.485 Ry/atom
magnetization: 10.155 μB/cell

Structure (extended XYZ):
```
12
Lattice="2.527 1.459 8.215 -2.527 1.459 8.215 0.000 -2.918 8.215" Properties=species:S:1:pos:R:3 pbc="T T T"
La 0.000 0.000 0.000
Sm 0.000 0.000 3.448
Sm 0.000 0.000 21.196
Co -1.267 -0.731 10.215
Co 0.000 0.000 8.239
Co 0.000 -1.463 14.428
Co -1.267 0.731 14.428
Co 0.000 0.000 12.322
Co 1.267 -0.731 10.215
Co 0.000 1.463 10.215
Co 0.000 0.000 16.404
Co 1.267 0.731 14.428
```